No. 1
Compound: YHo3Te2
Source: the Alexandria database
Functional: PBE-GGA
Structure: optimized geometry

Structure (POSCAR):
```
YHo3Te2
1.0
3.9232 0.0000 0.0000
-1.9616 10.8916 -1.1223
0.0000 -5.9313 8.7603
Y Ho Te
2 6 4
Direct
0.8909 0.7818 0.8817 Y
0.1091 0.2182 0.1183 Y
0.3107 0.6214 0.4955 Ho
0.9509 0.9018 0.5574 Ho
0.6337 0.2675 0.8015 Ho
0.3663 0.7325 0.1985 Ho
0.0491 0.0982 0.4426 Ho
0.6893 0.3786 0.5045 Ho
0.4914 0.9827 0.8269 Te
0.5086 0.0173 0.1731 Te
0.7456 0.4912 0.1908 Te
0.2544 0.5088 0.8092 Te
```

Calculated values
Density = 8.00 g/cm³
Volume = 348.2 Å³/cell
Energy relative to the elements, uncorrected = -0.77 eV/atom
Size of the total moment = 0.00 Bohr magnetons per cell
Electronic total energy = -5.185 eV per atom

=====

No. 2
Compound: YHo6Te8
Source: the Alexandria database
Functional: PBE-GGA
Structure: optimized geometry

Structure (POSCAR):
```
YHo6Te8
1.0
-3.4166 1.3044 7.8333
-6.2725 -5.1946 2.8995
1.6205 -5.5749 6.4055
Y Ho Te
1 6 8
Direct
0.0000 0.0000 0.0000 Y
0.0000 0.5000 0.5000 Ho
0.5000 0.0000 0.0000 Ho
0.5000 0.5000 0.0000 Ho
0.0000 0.0000 0.5000 Ho
0.0000 0.5000 0.0000 Ho
0.5000 0.0000 0.5000 Ho
0.7500 0.7500 0.7500 Te
0.2500 0.2500 0.2500 Te
0.7435 0.2565 0.2565 Te
0.2565 0.7435 0.7435 Te
0.2565 0.2565 0.7435 Te
0.7435 0.7435 0.2565 Te
0.7435 0.2565 0.7435 Te
0.2565 0.7435 0.2565 Te
```

Calculated values
Density = 7.63 g/cm³
Volume = 456.8 Å³/cell
Energy relative to the elements, uncorrected = -1.34 eV/atom
Size of the total moment = 0.00 Bohr magnetons per cell
Electronic total energy = -5.282 eV per atom
Energy above the most stable polymorph in this dataset = 0 meV per atom

=====

No. 3
Compound: YHo6Te8
Source: the Alexandria database
Functional: PBE-GGA
Structure: optimized geometry

Structure (POSCAR):
```
YHo6Te8
1.0
-7.4718 -0.1411 -2.8986
0.9368 -7.8033 -1.5753
-2.6550 -1.6385 7.3835
Y Ho Te
1 6 8
Direct
0.0000 0.0000 0.0000 Y
0.5812 0.4402 0.8055 Ho
0.4402 0.8055 0.5812 Ho
0.8055 0.5812 0.4402 Ho
0.4188 0.5598 0.1945 Ho
0.5598 0.1945 0.4188 Ho
0.1945 0.4188 0.5598 Ho
0.7712 0.7712 0.7712 Te
0.2288 0.2288 0.2288 Te
0.6478 0.8699 0.2507 Te
0.8699 0.2507 0.6478 Te
0.2507 0.6478 0.8699 Te
0.3522 0.1301 0.7493 Te
0.1301 0.7493 0.3522 Te
0.7493 0.3522 0.1301 Te
```

Calculated values
Density = 6.77 g/cm³
Volume = 514.7 Å³/cell
Energy relative to the elements, uncorrected = -1.06 eV/atom
Size of the total moment = 0.04 Bohr magnetons per cell
Electronic total energy = -4.997 eV per atom
Energy above the most stable polymorph in this dataset = 285 meV per atom